Record 1
! PBE-GGA Ba2Zn3Pd12Pt, optimized geometry; values from VASP
! symmetry = R-3m (166)
! formation energy = -149 meV per atom
&SYSTEM
  ibrav = 0, nat = 18, ntyp = 4
/
ATOMIC_SPECIES
Pd 106.42 Pd.upf
Zn 65.41 Zn.upf
Pt 195.08 Pt.upf
Ba 137.33 Ba.upf
ATOMIC_POSITIONS crystal
Pd 0.811 0.411 0.411
Pd 0.589 0.589 0.189
Pd 0.411 0.411 0.811
Pd 0.935 0.351 0.935
Pd 0.189 0.589 0.589
Pd 0.411 0.811 0.411
Pd 0.589 0.189 0.589
Pd 0.351 0.935 0.935
Pd 0.649 0.065 0.065
Pd 0.935 0.935 0.351
Pd 0.065 0.649 0.065
Pd 0.065 0.065 0.649
Zn 0.000 0.500 0.000
Zn 0.500 0.000 0.000
Zn 0.000 0.000 0.500
Pt 0.000 0.000 0.000
Ba 0.653 0.653 0.653
Ba 0.347 0.347 0.347
CELL_PARAMETERS angstrom
9.866 1.854 1.315
6.485 7.664 1.315
6.485 3.775 6.798


Record 2
! PBE-GGA BaZn3PdPt, optimized geometry; values from VASP
! symmetry = Cmcm (63)
! formation energy = -423 meV per atom
&SYSTEM
  ibrav = 0, nat = 12, ntyp = 4
/
ATOMIC_SPECIES
Ba 137.33 Ba.upf
Zn 65.41 Zn.upf
Pt 195.08 Pt.upf
Pd 106.42 Pd.upf
ATOMIC_POSITIONS crystal
Ba 0.750 0.224 0.447
Ba 0.250 0.776 0.553
Zn 0.000 0.222 0.000
Zn 0.000 0.778 0.000
Zn 0.250 0.311 0.622
Zn 0.500 0.222 0.000
Zn 0.750 0.689 0.378
Zn 0.500 0.778 0.000
Pt 0.250 0.105 0.209
Pt 0.750 0.895 0.791
Pd 0.250 0.513 0.027
Pd 0.750 0.487 0.973
CELL_PARAMETERS angstrom
-0.090 4.391 -4.385
4.474 -4.016 -4.112
-6.959 -0.639 -0.497


Record 3
! PBE-GGA BaPu2Pd9, optimized geometry; values from VASP
! symmetry = R-3m (166)
! formation energy = -460 meV per atom
&SYSTEM
  ibrav = 0, nat = 12, ntyp = 3
/
ATOMIC_SPECIES
Pd 106.42 Pd.upf
Pu 244.00 Pu.upf
Ba 137.33 Ba.upf
ATOMIC_POSITIONS crystal
Pd 0.333 0.333 0.001
Pd 0.412 0.412 0.259
Pd 0.500 0.500 0.500
Pd 0.412 0.918 0.259
Pd 0.588 0.082 0.741
Pd 0.667 0.667 0.999
Pd 0.918 0.412 0.259
Pd 0.588 0.588 0.741
Pd 0.082 0.588 0.741
Pu 0.143 0.143 0.570
Pu 0.857 0.857 0.430
Ba 0.000 0.000 0.000
CELL_PARAMETERS angstrom
5.258 0.000 1.565
2.396 4.680 1.565
0.032 0.020 9.508


Record 4
! PBE-GGA Ba2PuPd, optimized geometry; values from VASP
! symmetry = R-3m (166)
! formation energy = 218 meV per atom
&SYSTEM
  ibrav = 0, nat = 4, ntyp = 3
/
ATOMIC_SPECIES
Pu 244.00 Pu.upf
Pd 106.42 Pd.upf
Ba 137.33 Ba.upf
ATOMIC_POSITIONS crystal
Pu 0.000 0.000 0.000
Pd 0.500 0.500 0.500
Ba 0.890 0.890 0.330
Ba 0.110 0.110 0.670
CELL_PARAMETERS angstrom
-1.395 1.180 3.737
1.807 -1.459 3.451
7.505 8.856 2.321


Record 5
! PBE-GGA BaPuPd10, optimized geometry; values from VASP
! symmetry = Pmmm (47)
! formation energy = -320 meV per atom
&SYSTEM
  ibrav = 0, nat = 12, ntyp = 3
/
ATOMIC_SPECIES
Pd 106.42 Pd.upf
Ba 137.33 Ba.upf
Pu 244.00 Pu.upf
ATOMIC_POSITIONS crystal
Pd 0.000 0.500 0.188
Pd 0.000 0.000 0.655
Pd 0.500 0.253 0.257
Pd 0.500 0.500 0.000
Pd 0.000 0.500 0.812
Pd 0.500 0.747 0.257
Pd 0.000 0.000 0.345
Pd 0.500 0.000 0.500
Pd 0.500 0.747 0.743
Pd 0.500 0.253 0.743
Ba 0.000 0.000 0.000
Pu 0.000 0.500 0.500
CELL_PARAMETERS angstrom
4.504 0.000 0.000
0.000 5.419 0.000
0.000 0.000 9.443


Record 6
! PBE-GGA BaPu2PdS4, optimized geometry; values from VASP
! total energy = -130.42 eV/cell
! symmetry = Cmcm (63)
&SYSTEM
  ibrav = 0, nat = 16, ntyp = 4
/
ATOMIC_SPECIES
S 32.06 S.upf
Pd 106.42 Pd.upf
Ba 137.33 Ba.upf
Pu 244.00 Pu.upf
ATOMIC_POSITIONS crystal
S 0.265 0.531 0.107
S 0.559 0.117 0.250
S 0.000 0.000 0.000
S 0.735 0.469 0.607
S 0.735 0.469 0.893
S 0.000 0.000 0.500
S 0.265 0.531 0.393
S 0.441 0.883 0.750
Pd 0.841 0.683 0.750
Pd 0.159 0.317 0.250
Ba 0.888 0.775 0.250
Ba 0.112 0.225 0.750
Pu 0.632 0.264 0.436
Pu 0.368 0.736 0.936
Pu 0.632 0.264 0.064
Pu 0.368 0.736 0.564
CELL_PARAMETERS angstrom
4.094 0.000 0.000
-2.047 6.713 0.000
0.000 0.000 13.802


Record 7
! PBE-GGA Ba2PuPdS5, optimized geometry; values from VASP
! total energy = -113.83 eV/cell
! symmetry = Cmc2_1 (36)
&SYSTEM
  ibrav = 0, nat = 18, ntyp = 4
/
ATOMIC_SPECIES
Pu 244.00 Pu.upf
S 32.06 S.upf
Ba 137.33 Ba.upf
Pd 106.42 Pd.upf
ATOMIC_POSITIONS crystal
Pu 0.803 0.607 0.521
Pu 0.197 0.393 0.021
S 0.303 0.607 0.660
S 0.300 0.600 0.385
S 0.500 0.001 0.267
S 0.343 0.685 0.019
S 0.500 0.999 0.767
S 0.048 0.096 0.006
S 0.657 0.315 0.519
S 0.952 0.904 0.506
S 0.697 0.393 0.160
S 0.700 0.400 0.885
Ba 0.881 0.762 0.837
Ba 0.122 0.245 0.699
Ba 0.119 0.238 0.337
Ba 0.878 0.755 0.199
Pd 0.564 0.128 0.930
Pd 0.436 0.872 0.430
CELL_PARAMETERS angstrom
4.169 0.000 0.000
-2.085 9.015 0.000
0.000 0.000 12.777


Record 8
! PBE-GGA Ba2PuSb3Pd4, optimized geometry; values from VASP
! total energy = -58.83 eV/cell
! symmetry = P-4m2 (115)
&SYSTEM
  ibrav = 0, nat = 10, ntyp = 4
/
ATOMIC_SPECIES
Pu 244.00 Pu.upf
Ba 137.33 Ba.upf
Sb 121.76 Sb.upf
Pd 106.42 Pd.upf
ATOMIC_POSITIONS crystal
Pu 0.500 0.500 0.500
Ba 0.000 0.500 0.768
Ba 0.500 0.000 0.232
Sb 0.000 0.500 0.120
Sb 0.500 0.000 0.880
Sb 0.000 0.000 0.500
Pd 0.500 0.500 0.000
Pd 0.000 0.500 0.356
Pd 0.000 0.000 0.000
Pd 0.500 0.000 0.644
CELL_PARAMETERS angstrom
4.728 0.000 0.000
0.000 4.728 0.000
0.000 0.000 11.448


Record 9
! PBE-GGA BaPuSb2Pd2, optimized geometry; values from VASP
! total energy = -39.71 eV/cell
! symmetry = P-3m1 (164)
&SYSTEM
  ibrav = 0, nat = 6, ntyp = 4
/
ATOMIC_SPECIES
Sb 121.76 Sb.upf
Pd 106.42 Pd.upf
Ba 137.33 Ba.upf
Pu 244.00 Pu.upf
ATOMIC_POSITIONS crystal
Sb 0.333 0.667 0.712
Sb 0.667 0.333 0.288
Pd 0.667 0.333 0.681
Pd 0.333 0.667 0.319
Ba 0.000 0.000 0.000
Pu 0.000 0.000 0.500
CELL_PARAMETERS angstrom
4.743 0.000 0.000
-2.372 4.108 0.000
0.000 0.000 8.195


Record 10
! PBE-GGA BaPuPdSe4, optimized geometry; values from VASP
! total energy = -85.05 eV/cell
! symmetry = Cmcm (63)
&SYSTEM
  ibrav = 0, nat = 14, ntyp = 4
/
ATOMIC_SPECIES
Se 78.96 Se.upf
Ba 137.33 Ba.upf
Pd 106.42 Pd.upf
Pu 244.00 Pu.upf
ATOMIC_POSITIONS crystal
Se 0.500 0.000 0.500
Se 0.500 0.500 0.500
Se 0.058 0.750 0.116
Se 0.000 0.000 0.500
Se 0.399 0.750 0.799
Se 0.942 0.250 0.884
Se 0.601 0.250 0.201
Se 0.000 0.500 0.500
Ba 0.397 0.250 0.795
Ba 0.603 0.750 0.205
Pd 0.234 0.750 0.469
Pd 0.766 0.250 0.531
Pu 0.129 0.250 0.258
Pu 0.871 0.750 0.742
CELL_PARAMETERS angstrom
6.518 0.000 0.000
0.000 7.683 0.000
-3.259 0.000 7.623


Record 11
! PBE-GGA BaPuPdSe3, optimized geometry; values from VASP
! total energy = -80.25 eV/cell
! symmetry = P2_1/m (11)
&SYSTEM
  ibrav = 0, nat = 12, ntyp = 4
/
ATOMIC_SPECIES
Se 78.96 Se.upf
Pu 244.00 Pu.upf
Ba 137.33 Ba.upf
Pd 106.42 Pd.upf
ATOMIC_POSITIONS crystal
Se 0.750 0.450 0.159
Se 0.250 0.109 0.869
Se 0.250 0.550 0.841
Se 0.750 0.891 0.131
Se 0.750 0.231 0.530
Se 0.250 0.769 0.470
Pu 0.750 0.321 0.840
Pu 0.250 0.679 0.160
Ba 0.250 0.194 0.244
Ba 0.750 0.806 0.756
Pd 0.250 0.093 0.578
Pd 0.750 0.907 0.422
CELL_PARAMETERS angstrom
4.248 0.000 0.000
0.000 8.744 -0.129
0.000 -2.426 9.090


Record 12
! PBE-GGA Ba2PuSn3Pd4, optimized geometry; values from VASP
! symmetry = P-4m2 (115)
! formation energy = -658 meV per atom
&SYSTEM
  ibrav = 0, nat = 10, ntyp = 4
/
ATOMIC_SPECIES
Sn 118.71 Sn.upf
Pd 106.42 Pd.upf
Ba 137.33 Ba.upf
Pu 244.00 Pu.upf
ATOMIC_POSITIONS crystal
Sn 0.000 0.500 0.115
Sn 0.500 0.000 0.885
Sn 0.000 0.000 0.500
Pd 0.000 0.000 0.000
Pd 0.500 0.000 0.641
Pd 0.500 0.500 0.000
Pd 0.000 0.500 0.359
Ba 0.500 0.000 0.236
Ba 0.000 0.500 0.764
Pu 0.500 0.500 0.500
CELL_PARAMETERS angstrom
4.789 0.000 0.000
0.000 4.789 0.000
0.000 0.000 11.211


Record 13
! PBE-GGA Rb2BaPd2, optimized geometry; values from VASP
! symmetry = P4/mbm (127)
! excess energy over the best structure of this formula in the dataset = 48.5 meV per atom
! formation energy = 99 meV per atom
&SYSTEM
  ibrav = 0, nat = 10, ntyp = 3
/
ATOMIC_SPECIES
Rb 85.47 Rb.upf
Ba 137.33 Ba.upf
Pd 106.42 Pd.upf
ATOMIC_POSITIONS crystal
Rb 0.136 0.636 0.500
Rb 0.864 0.364 0.500
Rb 0.636 0.864 0.500
Rb 0.364 0.136 0.500
Ba 0.000 0.000 0.000
Ba 0.500 0.500 0.000
Pd 0.829 0.671 0.000
Pd 0.329 0.829 0.000
Pd 0.671 0.171 0.000
Pd 0.171 0.329 0.000
CELL_PARAMETERS angstrom
8.810 0.000 0.000
0.000 8.810 0.000
0.000 0.000 4.964


Record 14
! PBE-GGA RbBa2Pd, optimized geometry; values from VASP
! symmetry = C2/m (12)
! excess energy over the best structure of this formula in the dataset = 0.0 meV per atom
! formation energy = -308 meV per atom
&SYSTEM
  ibrav = 0, nat = 4, ntyp = 3
/
ATOMIC_SPECIES
Pd 106.42 Pd.upf
Ba 137.33 Ba.upf
Rb 85.47 Rb.upf
ATOMIC_POSITIONS crystal
Pd 0.000 0.000 0.500
Ba 0.668 0.337 0.645
Ba 0.332 0.663 0.355
Rb 0.000 0.000 0.000
CELL_PARAMETERS angstrom
4.697 0.000 0.000
-2.349 4.074 -0.029
0.000 0.000 11.706


Record 15
! PBE-GGA RbBa8Pd4, optimized geometry; values from VASP
! symmetry = I4/m (87)
! formation energy = -378 meV per atom
&SYSTEM
  ibrav = 0, nat = 13, ntyp = 3
/
ATOMIC_SPECIES
Ba 137.33 Ba.upf
Pd 106.42 Pd.upf
Rb 85.47 Rb.upf
ATOMIC_POSITIONS crystal
Ba 0.040 0.297 0.623
Ba 0.348 0.349 0.955
Ba 0.337 0.623 0.703
Ba 0.303 0.045 0.349
Ba 0.663 0.377 0.297
Ba 0.652 0.651 0.045
Ba 0.697 0.955 0.651
Ba 0.960 0.703 0.377
Pd 0.155 0.517 0.173
Pd 0.845 0.483 0.827
Pd 0.672 0.173 0.483
Pd 0.328 0.827 0.517
Rb 0.000 0.000 0.000
CELL_PARAMETERS angstrom
-0.042 -4.731 -0.219
7.846 -2.040 -8.663
8.538 -2.806 7.746


Record 16
! PBE-GGA RbBaPd3, optimized geometry; values from VASP
! symmetry = Pm-3m (221)
! excess energy over the best structure of this formula in the dataset = 0.0 meV per atom
! formation energy = 575 meV per atom
&SYSTEM
  ibrav = 0, nat = 5, ntyp = 3
/
ATOMIC_SPECIES
Ba 137.33 Ba.upf
Pd 106.42 Pd.upf
Rb 85.47 Rb.upf
ATOMIC_POSITIONS crystal
Ba 0.000 0.000 0.000
Pd 0.500 0.000 0.000
Pd 0.000 0.500 0.000
Pd 0.000 0.000 0.500
Rb 0.500 0.500 0.500
CELL_PARAMETERS angstrom
-3.883 2.854 -3.046
-3.477 -4.513 0.204
-2.309 1.997 4.815


Record 17
! PBE-GGA RbBaPd4, optimized geometry; values from VASP
! symmetry = F-43m (216)
! formation energy = -288 meV per atom
&SYSTEM
  ibrav = 0, nat = 6, ntyp = 3
/
ATOMIC_SPECIES
Rb 85.47 Rb.upf
Pd 106.42 Pd.upf
Ba 137.33 Ba.upf
ATOMIC_POSITIONS crystal
Rb 0.000 0.000 0.000
Pd 0.625 0.625 0.625
Pd 0.625 0.625 0.125
Pd 0.625 0.125 0.625
Pd 0.125 0.625 0.625
Ba 0.250 0.250 0.250
CELL_PARAMETERS angstrom
-4.994 -1.198 2.528
-4.385 -1.961 -3.113
-1.696 -5.439 0.553


Record 18
! PBE-GGA RbBa2Pd, optimized geometry; values from VASP
! symmetry = R3m (160)
! excess energy over the best structure of this formula in the dataset = 3.1 meV per atom
! formation energy = -305 meV per atom
&SYSTEM
  ibrav = 0, nat = 4, ntyp = 3
/
ATOMIC_SPECIES
Ba 137.33 Ba.upf
Rb 85.47 Rb.upf
Pd 106.42 Pd.upf
ATOMIC_POSITIONS crystal
Ba 0.285 0.285 0.145
Ba 0.048 0.048 0.855
Rb 0.501 0.501 0.498
Pd 0.666 0.666 0.001
CELL_PARAMETERS angstrom
-0.739 -2.852 3.661
-0.943 -4.547 -0.717
10.918 -4.911 1.393


Record 19
! PBE-GGA RbBa3Pd, optimized geometry; values from VASP
! symmetry = Pm-3m (221)
! excess energy over the best structure of this formula in the dataset = 1223.4 meV per atom
! formation energy = 1013 meV per atom
&SYSTEM
  ibrav = 0, nat = 5, ntyp = 3
/
ATOMIC_SPECIES
Ba 137.33 Ba.upf
Rb 85.47 Rb.upf
Pd 106.42 Pd.upf
ATOMIC_POSITIONS crystal
Ba 0.000 0.000 0.500
Ba 0.000 0.500 0.000
Ba 0.500 0.000 0.000
Rb 0.000 0.000 0.000
Pd 0.500 0.500 0.500
CELL_PARAMETERS angstrom
6.669 0.000 0.000
0.000 6.669 0.000
0.000 0.000 6.669


Record 20
! PBE-GGA RbBa4Pd2, optimized geometry; values from VASP
! symmetry = C2/m (12)
! formation energy = -303 meV per atom
&SYSTEM
  ibrav = 0, nat = 7, ntyp = 3
/
ATOMIC_SPECIES
Ba 137.33 Ba.upf
Rb 85.47 Rb.upf
Pd 106.42 Pd.upf
ATOMIC_POSITIONS crystal
Ba 0.671 0.025 0.343
Ba 0.329 0.975 0.657
Ba 0.178 0.537 0.356
Ba 0.822 0.463 0.644
Rb 0.500 0.500 0.000
Pd 0.752 0.758 0.505
Pd 0.248 0.242 0.495
CELL_PARAMETERS angstrom
4.598 0.000 -0.920
-0.394 7.697 -1.967
0.010 0.093 11.995